a | Compound: RbY3Cd
Source: Alexandria
Functional: PBE-GGA
Structure: relaxed

Calculated values
- DOS at the Fermi energy: 3.91 states/eV/f.u.

Unit cell a=5.8846 b=5.8846 c=5.8846 alpha=90.00 beta=90.00 gamma=90.00
With the nearest neighbours (Å) after each atom.
Element x y z (fractional)
Rb 0.0000 0.0000 0.0000  12 Y 4.16
Y 0.0000 0.5000 0.5000  2 Cd 2.94
Y 0.5000 0.0000 0.5000  2 Cd 2.94
Y 0.5000 0.5000 0.0000  2 Cd 2.94
Cd 0.5000 0.5000 0.5000  6 Y 2.94

***

b | Compound: RbY3Cd
Source: Alexandria
Functional: PBE-GGA
Structure: relaxed

Calculated values
- DOS at the Fermi energy: 5.74 states/eV/f.u.

Unit cell a=5.5232 b=5.5232 c=5.5232 alpha=90.00 beta=90.00 gamma=90.00
With the nearest neighbours (Å) after each atom.
Element x y z (fractional)
Rb 0.0000 0.0000 0.0000  6 Y 2.76
Y 0.0000 0.0000 0.5000  2 Rb 2.76
Y 0.0000 0.5000 0.0000  2 Rb 2.76
Y 0.5000 0.0000 0.0000  2 Rb 2.76
Cd 0.5000 0.5000 0.5000  12 Y 3.91

***

Quick one: most stable of them? a

***

a | Compound: RbZn3Cd
Source: Alexandria
Functional: PBE-GGA
Structure: relaxed

Calculated values
- DOS at the Fermi energy: 2.64 states/eV/f.u.

Unit cell a=5.3109 b=5.3109 c=5.3109 alpha=90.00 beta=90.00 gamma=90.00
With the nearest neighbours (Å) after each atom.
Element x y z (fractional)
Rb 0.0000 0.0000 0.0000  12 Zn 3.76
Zn 0.0000 0.5000 0.5000  2 Cd 2.66
Zn 0.5000 0.0000 0.5000  2 Cd 2.66
Zn 0.5000 0.5000 0.0000  2 Cd 2.66
Cd 0.5000 0.5000 0.5000  6 Zn 2.66

***

b | Compound: RbZn3Cd
Source: Alexandria
Functional: PBE-GGA
Structure: relaxed

Calculated values
- DOS at the Fermi energy: 4.24 states/eV/f.u.

Unit cell a=6.7722 b=6.7722 c=6.7722 alpha=90.00 beta=90.00 gamma=90.00
With the nearest neighbours (Å) after each atom.
Element x y z (fractional)
Rb 0.0000 0.0000 0.0000  6 Zn 3.39
Zn 0.0000 0.0000 0.5000  2 Rb 3.39
Zn 0.0000 0.5000 0.0000  2 Rb 3.39
Zn 0.5000 0.0000 0.0000  2 Rb 3.39
Cd 0.5000 0.5000 0.5000  12 Zn 4.79

***

Quick one: most stable of them? a

***

a | Compound: RbZnCd4
Source: Alexandria
Functional: PBE-GGA
Structure: relaxed

Calculated values
- DOS at the Fermi energy: 2.45 states/eV/f.u.

Unit cell a=5.4272 b=9.6338 c=6.5664 alpha=90.00 beta=94.13 gamma=90.00
With the nearest neighbours (Å) after each atom.
Element x y z (fractional)
Rb 0.0107 0.2500 0.0202  2 Zn 3.39-3.60, 2 Cd 3.57-3.78
Rb 0.9893 0.7500 0.9798  2 Zn 3.39-3.60, 2 Cd 3.57-3.78
Zn 0.2328 0.2500 0.5509  4 Cd 2.63-2.86
Zn 0.7672 0.7500 0.4491  4 Cd 2.63-2.86
Cd 0.0000 0.0000 0.5000  2 Zn 2.73, 2 Cd 2.89
Cd 0.0000 0.5000 0.5000  2 Zn 2.73, 2 Cd 2.89
Cd 0.2946 0.7500 0.5156  2 Zn 2.63-2.86, 2 Cd 2.89
Cd 0.4877 0.0115 0.7698  1 Zn 3.00, 4 Cd 3.02-3.24
Cd 0.4877 0.4885 0.7698  1 Zn 3.00, 4 Cd 3.02-3.24
Cd 0.5123 0.5115 0.2302  1 Zn 3.00, 4 Cd 3.02-3.24
Cd 0.5123 0.9885 0.2302  1 Zn 3.00, 4 Cd 3.02-3.24
Cd 0.7054 0.2500 0.4844  2 Zn 2.63-2.86, 2 Cd 2.89

***

b | Compound: RbZnCd4
Source: Alexandria
Functional: PBE-GGA
Structure: relaxed

Calculated values
- DOS at the Fermi energy: 2.04 states/eV/f.u.

Unit cell a=9.5177 b=9.5177 c=6.0442 alpha=106.88 beta=106.88 gamma=44.54
With the nearest neighbours (Å) after each atom.
Element x y z (fractional)
Rb 0.2177 0.2177 0.1567  12 Cd 3.88-4.03, 1 Zn 4.08
Rb 0.7823 0.7823 0.8433  12 Cd 3.88-4.03, 1 Zn 4.08
Zn 0.4581 0.4581 0.2640  1 Zn 2.77, 5 Cd 2.79-2.92
Zn 0.5419 0.5419 0.7360  1 Zn 2.77, 5 Cd 2.79-2.92
Cd 0.1062 0.7093 0.4702  1 Zn 2.79, 3 Cd 2.86-3.10
Cd 0.1991 0.8009 0.0000  5 Cd 2.87-3.13, 2 Zn 2.92
Cd 0.2907 0.8938 0.5298  1 Zn 2.79, 3 Cd 2.86-3.10
Cd 0.3705 0.3705 0.7806  2 Zn 2.84-3.11, 4 Cd 3.08-3.13
Cd 0.6295 0.6295 0.2194  2 Zn 2.84-3.11, 4 Cd 3.08-3.13
Cd 0.7093 0.1062 0.4702  1 Zn 2.79, 3 Cd 2.86-3.10
Cd 0.8009 0.1991 0.0000  5 Cd 2.87-3.13, 2 Zn 2.92
Cd 0.8938 0.2907 0.5298  1 Zn 2.79, 3 Cd 2.86-3.10

***

c | Compound: RbZnCd4
Source: Alexandria
Functional: PBE-GGA
Structure: relaxed

Calculated values
- DOS at the Fermi energy: 4.28 states/eV/f.u.

Unit cell a=6.2276 b=6.2276 c=6.2276 alpha=60.00 beta=60.00 gamma=60.00
With the nearest neighbours (Å) after each atom.
Element x y z (fractional)
Rb 0.0000 0.0000 0.0000  12 Cd 3.65, 4 Zn 3.81
Zn 0.7500 0.7500 0.7500  12 Cd 3.65, 4 Rb 3.81
Cd 0.3757 0.3757 0.3757  6 Cd 3.10-3.13
Cd 0.3757 0.3757 0.8728  6 Cd 3.10-3.13
Cd 0.3757 0.8728 0.3757  6 Cd 3.10-3.13
Cd 0.8728 0.3757 0.3757  6 Cd 3.10-3.13

***

Quick one: most stable of them? a

***

a | Compound: RbZr3Cd
Source: Alexandria
Functional: PBE-GGA
Structure: relaxed

Calculated values
- DOS at the Fermi energy: 8.49 states/eV/f.u.

Unit cell a=5.4723 b=5.4723 c=5.4723 alpha=90.00 beta=90.00 gamma=90.00
With the nearest neighbours (Å) after each atom.
Element x y z (fractional)
Rb 0.0000 0.0000 0.0000  12 Zr 3.87
Zr 0.0000 0.5000 0.5000  2 Cd 2.74
Zr 0.5000 0.0000 0.5000  2 Cd 2.74
Zr 0.5000 0.5000 0.0000  2 Cd 2.74
Cd 0.5000 0.5000 0.5000  6 Zr 2.74

***

b | Compound: RbZr3Cd
Source: Alexandria
Functional: PBE-GGA
Structure: relaxed

Calculated values
- DOS at the Fermi energy: 8.48 states/eV/f.u.

Unit cell a=5.0672 b=5.0672 c=5.0672 alpha=90.00 beta=90.00 gamma=90.00
With the nearest neighbours (Å) after each atom.
Element x y z (fractional)
Rb 0.0000 0.0000 0.0000  6 Zr 2.53
Zr 0.0000 0.0000 0.5000  2 Rb 2.53
Zr 0.0000 0.5000 0.0000  2 Rb 2.53
Zr 0.5000 0.0000 0.0000  2 Rb 2.53
Cd 0.5000 0.5000 0.5000  12 Zr 3.58

***

Quick one: most stable of them? a

***

a | Compound: RbZrCd3
Source: Alexandria
Functional: PBE-GGA
Structure: relaxed

Calculated values
- DOS at the Fermi energy: 7.27 states/eV/f.u.

Unit cell a=5.8038 b=5.8038 c=5.8038 alpha=90.00 beta=90.00 gamma=90.00
With the nearest neighbours (Å) after each atom.
Element x y z (fractional)
Rb 0.0000 0.0000 0.0000  12 Cd 4.10
Zr 0.5000 0.5000 0.5000  6 Cd 2.90
Cd 0.0000 0.5000 0.5000  2 Zr 2.90
Cd 0.5000 0.0000 0.5000  2 Zr 2.90
Cd 0.5000 0.5000 0.0000  2 Zr 2.90

***

b | Compound: RbZrCd3
Source: Alexandria
Functional: PBE-GGA
Structure: relaxed

Calculated values
- DOS at the Fermi energy: 6.37 states/eV/f.u.

Unit cell a=5.8787 b=5.8787 c=5.8787 alpha=90.00 beta=90.00 gamma=90.00
With the nearest neighbours (Å) after each atom.
Element x y z (fractional)
Rb 0.0000 0.0000 0.0000  6 Cd 2.94
Zr 0.5000 0.5000 0.5000  12 Cd 4.16
Cd 0.0000 0.0000 0.5000  2 Rb 2.94
Cd 0.0000 0.5000 0.0000  2 Rb 2.94
Cd 0.5000 0.0000 0.0000  2 Rb 2.94

***

Quick one: most stable of them? a

***

a | Compound: RbZrCd2
Source: Alexandria
Functional: PBE-GGA
Structure: relaxed

Calculated values
- DOS at the Fermi energy: 3.29 states/eV/f.u.

Unit cell a=7.7152 b=7.7152 c=7.7152 alpha=90.00 beta=90.00 gamma=90.00
With the nearest neighbours (Å) after each atom.
Element x y z (fractional)
Rb 0.0000 0.0000 0.0000  8 Cd 3.34
Rb 0.0000 0.5000 0.5000  8 Cd 3.34
Rb 0.5000 0.0000 0.5000  8 Cd 3.34
Rb 0.5000 0.5000 0.0000  8 Cd 3.34
Zr 0.0000 0.0000 0.5000  8 Cd 3.34
Zr 0.0000 0.5000 0.0000  8 Cd 3.34
Zr 0.5000 0.0000 0.0000  8 Cd 3.34
Zr 0.5000 0.5000 0.5000  8 Cd 3.34
Cd 0.2500 0.2500 0.2500  4 Zr 3.34, 4 Rb 3.34
Cd 0.2500 0.2500 0.7500  4 Zr 3.34, 4 Rb 3.34
Cd 0.2500 0.7500 0.2500  4 Zr 3.34, 4 Rb 3.34
Cd 0.2500 0.7500 0.7500  4 Zr 3.34, 4 Rb 3.34
Cd 0.7500 0.2500 0.2500  4 Zr 3.34, 4 Rb 3.34
Cd 0.7500 0.2500 0.7500  4 Zr 3.34, 4 Rb 3.34
Cd 0.7500 0.7500 0.2500  4 Zr 3.34, 4 Rb 3.34
Cd 0.7500 0.7500 0.7500  4 Rb 3.34, 4 Zr 3.34

***

b | Compound: RbZrCd2
Source: Alexandria
Functional: PBE-GGA
Structure: relaxed

Calculated values
- DOS at the Fermi energy: 3.21 states/eV/f.u.

Unit cell a=8.6114 b=8.6114 c=7.3890 alpha=90.00 beta=90.00 gamma=90.00
With the nearest neighbours (Å) after each atom.
Element x y z (fractional)
Rb 0.0000 0.0000 0.0000  4 Cd 3.48, 2 Zr 3.69
Rb 0.0000 0.5000 0.2500  4 Cd 3.48, 2 Zr 3.69
Rb 0.5000 0.0000 0.7500  4 Cd 3.48, 2 Zr 3.69
Rb 0.5000 0.5000 0.5000  4 Cd 3.48, 2 Zr 3.69
Zr 0.0000 0.0000 0.5000  4 Cd 2.91
Zr 0.0000 0.5000 0.7500  4 Cd 2.91
Zr 0.5000 0.0000 0.2500  4 Cd 2.91
Zr 0.5000 0.5000 0.0000  4 Cd 2.91
Cd 0.2005 0.2500 0.6250  2 Zr 2.91
Cd 0.2500 0.7005 0.8750  2 Zr 2.91
Cd 0.2500 0.7995 0.3750  2 Zr 2.91
Cd 0.2995 0.2500 0.1250  2 Zr 2.91
Cd 0.7005 0.7500 0.1250  2 Zr 2.91
Cd 0.7500 0.2005 0.3750  2 Zr 2.91
Cd 0.7500 0.2995 0.8750  2 Zr 2.91
Cd 0.7995 0.7500 0.6250  2 Zr 2.91

***

Quick one: most stable of them? a